No. 1
LiZrBi2 | PBE | optimized geometry

Cell lengths 3.903, 3.903, 8.427 Å; angles 76.61, 76.61, 60.00 degrees
Positions (direct):
1 Bi 0.250 0.250 0.251
2 Bi 0.750 0.750 0.749
3 Zr 0.500 0.500 0.500
4 Li 0.000 0.000 0.000

Summary:
formation energy from the elements = -258.6 meV per atom
relative energy among the computed polymorphs = 26 meV/atom
calculated volume = 107.1 Å³/f.u.



No. 2
TbY3Pb4 | PBE | optimized geometry

Cell lengths 6.415, 6.416, 11.202 Å; angles 90.00, 90.00, 90.00 degrees
Positions (direct):
1 Y 0.000 0.310 0.000
2 Y 0.251 0.061 0.750
3 Y 0.749 0.561 0.750
4 Y 0.000 0.810 0.500
5 Y 0.749 0.561 0.250
6 Y 0.251 0.061 0.250
7 Pb 0.000 0.811 0.000
8 Pb 0.500 0.310 0.000
9 Pb 0.751 0.061 0.750
10 Pb 0.249 0.561 0.750
11 Pb 0.500 0.810 0.500
12 Pb 0.000 0.311 0.500
13 Pb 0.249 0.561 0.250
14 Pb 0.751 0.061 0.250
15 Tb 0.500 0.811 0.000
16 Tb 0.500 0.311 0.500

Summary:
formation energy from the elements = -471.6 meV per atom
calculated volume = 230.6 Å³/f.u.



No. 3
K2YOsC | PBE | optimized geometry

Cell lengths 5.662, 3.970, 5.662 Å; angles 90.00, 90.00, 90.00 degrees
Positions (direct):
1 Y 0.500 0.500 0.500
2 K 0.000 0.000 0.500
3 K 0.500 0.000 0.000
4 Os 0.000 0.500 0.000
5 C 0.000 0.000 0.000

Summary:
formation energy from the elements = 1082.5 meV per atom
calculated volume = 127.3 Å³/f.u.



No. 4
La4GaAsN | PBE | optimized geometry

Cell lengths 6.967, 6.959, 8.695 Å; angles 90.00, 113.62, 90.00 degrees
Positions (direct):
1 La 0.920 0.250 0.840
2 La 0.420 0.750 0.840
3 La 0.080 0.750 0.160
4 La 0.580 0.250 0.160
5 La 0.500 0.500 0.500
6 La 0.000 0.000 0.500
7 La 0.500 0.000 0.500
8 La 0.000 0.500 0.500
9 Ga 0.614 0.750 0.229
10 Ga 0.386 0.250 0.771
11 As 0.113 0.250 0.227
12 As 0.887 0.750 0.773
13 N 0.251 0.750 0.503
14 N 0.749 0.250 0.497

Summary:
formation energy from raw total energies = -0.94 eV per atom
calculated volume = 193.1 Å³/f.u.



No. 5
SrLaTl | PBE | optimized geometry

Cell lengths 7.986, 7.986, 3.884 Å; angles 75.93, 75.92, 28.15 degrees
Last column: magnetic moment on the atom in μB.
Positions (direct):
1 La 0.028 0.028 0.972  0.14
2 Sr 0.311 0.311 0.689  0.02
3 Tl 0.661 0.661 0.339  0.01

Summary:
formation energy from the elements = -216.1 meV per atom
calculated volume = 113.1 Å³/f.u.



No. 6
Zr2AlCl | PBE | optimized geometry

Cell lengths 3.255, 5.541, 4.633 Å; angles 90.00, 90.00, 90.00 degrees
Positions (direct):
1 Al 0.500 0.000 0.500
2 Zr 0.000 0.000 0.000
3 Zr 0.500 0.500 0.000
4 Cl 0.000 0.500 0.500

Summary:
relative energy among the computed polymorphs = 398 meV/atom
formation energy from raw total energies = -0.18 eV per atom
calculated volume = 83.6 Å³/f.u.



No. 7
Y2Zn2Pd | PBE | optimized geometry

Cell lengths 8.216, 8.216, 3.353 Å; angles 90.00, 90.00, 90.00 degrees
Positions (direct):
1 Y 0.313 0.813 0.000
2 Y 0.813 0.687 0.000
3 Y 0.687 0.187 0.000
4 Y 0.187 0.313 0.000
5 Zn 0.108 0.608 0.500
6 Zn 0.608 0.892 0.500
7 Zn 0.892 0.392 0.500
8 Zn 0.392 0.108 0.500
9 Pd 0.000 0.000 0.000
10 Pd 0.500 0.500 0.000

Summary:
formation energy from the elements = -110.6 meV per atom
relative energy among the computed polymorphs = 443 meV/atom
calculated volume = 113.2 Å³/f.u.



No. 8
Pm4YSc | PBE | optimized geometry

Cell lengths 5.880, 6.321, 8.643 Å; angles 42.92, 70.11, 62.28 degrees
Positions (direct):
1 Pm 0.660 0.680 0.001
2 Pm 0.340 0.320 0.999
3 Pm 0.158 0.184 0.500
4 Pm 0.842 0.816 0.500
5 Y 0.500 0.500 0.500
6 Sc 0.000 0.000 0.000

Summary:
formation energy from the elements = 112.8 meV per atom
calculated volume = 193.6 Å³/f.u.



No. 9
LiMg2TlHg4 | PBE | optimized geometry

Cell lengths 5.020, 5.020, 8.836 Å; angles 73.50, 73.50, 60.00 degrees
Positions (direct):
1 Li 0.500 0.500 0.500
2 Mg 0.749 0.749 0.753
3 Mg 0.251 0.251 0.247
4 Tl 0.000 0.000 0.000
5 Hg 0.388 0.388 0.837
6 Hg 0.866 0.866 0.401
7 Hg 0.134 0.134 0.599
8 Hg 0.612 0.612 0.163

Summary:
formation energy from the elements = -165.2 meV per atom
calculated volume = 182.2 Å³/f.u.



No. 10
Sc2Pa2S7 | PBE | optimized geometry

Cell lengths 3.804, 8.208, 8.208 Å; angles 61.88, 76.60, 76.60 degrees
Last column: magnetic moment on the atom in μB.
Positions (direct):
1 Sc 0.000 0.789 0.211  0.00
2 Sc 0.500 0.325 0.675  0.00
3 Pa 0.738 0.855 0.670  0.65
4 Pa 0.262 0.330 0.145  0.65
5 S 0.821 0.067 0.292  -0.02
6 S 0.865 0.418 0.852  -0.01
7 S 0.500 0.008 0.992  -0.01
8 S 0.608 0.495 0.289  -0.01
9 S 0.392 0.711 0.505  -0.01
10 S 0.179 0.708 0.933  -0.02
11 S 0.135 0.148 0.582  -0.01

Summary:
relative energy among the computed polymorphs = 0 meV/atom
formation energy from raw total energies = -1.69 eV per atom
calculated volume = 217.7 Å³/f.u.



No. 11
Hf3MgPd | PBE | optimized geometry

Cell lengths 5.045, 5.045, 5.045 Å; angles 90.00, 90.00, 90.00 degrees
Positions (direct):
1 Mg 0.500 0.500 0.500
2 Hf 0.000 0.500 0.000
3 Hf 0.000 0.000 0.500
4 Hf 0.500 0.000 0.000
5 Pd 0.000 0.000 0.000

Summary:
formation energy from the elements = 457.0 meV per atom
relative energy among the computed polymorphs = 0 meV/atom
calculated volume = 128.4 Å³/f.u.



No. 12
NaTm2Cu | PBE | optimized geometry

Cell lengths 3.490, 3.490, 11.101 Å; angles 80.96, 80.96, 60.00 degrees
Positions (direct):
1 Na 0.000 0.000 0.000
2 Tm 0.107 0.107 0.680
3 Tm 0.893 0.893 0.320
4 Cu 0.500 0.500 0.500

Summary:
formation energy from the elements = 189.4 meV per atom
relative energy among the computed polymorphs = 182 meV/atom
calculated volume = 115.1 Å³/f.u.



No. 13
BeTe2Se | PBE | optimized geometry

Cell lengths 5.018, 5.018, 5.018 Å; angles 60.00, 60.00, 60.00 degrees
Positions (direct):
1 Be 0.500 0.500 0.500
2 Te 0.000 0.000 0.000
3 Te 0.250 0.250 0.250
4 Se 0.750 0.750 0.750

Summary:
relative energy among the computed polymorphs = 687 meV/atom
formation energy from raw total energies = 0.69 eV per atom
calculated volume = 89.4 Å³/f.u.



No. 14
BaCaTi2Se | PBE | optimized geometry

Cell lengths 5.024, 6.211, 5.024 Å; angles 90.00, 90.00, 90.00 degrees
Positions (direct):
1 Ca 0.500 0.500 0.500
2 Ba 0.000 0.000 0.000
3 Se 0.000 0.500 0.000
4 Ti 0.000 0.000 0.500
5 Ti 0.500 0.000 0.000

Summary:
formation energy from raw total energies = 1.06 eV per atom
calculated volume = 156.8 Å³/f.u.



No. 15
CeZrSe2N | PBE | optimized geometry

Cell lengths 3.906, 3.906, 13.695 Å; angles 90.00, 90.00, 90.00 degrees
Positions (direct):
1 Ce 0.500 0.000 0.585
2 Ce 0.000 0.500 0.415
3 Zr 0.500 0.000 0.097
4 Zr 0.000 0.500 0.903
5 Se 0.000 0.500 0.712
6 Se 0.000 0.500 0.109
7 Se 0.500 0.000 0.891
8 Se 0.500 0.000 0.288
9 N 0.000 0.000 0.500
10 N 0.500 0.500 0.500

Summary:
formation energy from raw total energies = -1.43 eV per atom
calculated volume = 104.5 Å³/f.u.



No. 16
Rb3YNb | PBE | optimized geometry

Cell lengths 7.085, 7.085, 7.085 Å; angles 90.00, 90.00, 90.00 degrees
Last column: magnetic moment on the atom in μB.
Positions (direct):
1 Y 0.000 0.000 0.000  0.89
2 Nb 0.500 0.500 0.500  3.04
3 Rb 0.000 0.500 0.000  0.04
4 Rb 0.000 0.000 0.500  0.04
5 Rb 0.500 0.000 0.000  0.04

Summary:
formation energy from the elements = 1891.2 meV per atom
relative energy among the computed polymorphs = 302 meV/atom
calculated volume = 355.6 Å³/f.u.



No. 17
SiBiOs2N | PBE | optimized geometry

Cell lengths 4.779, 3.479, 4.779 Å; angles 90.00, 90.00, 90.00 degrees
Positions (direct):
1 Si 0.000 0.000 0.000
2 Os 0.000 0.000 0.500
3 Os 0.500 0.000 0.000
4 Bi 0.500 0.500 0.500
5 N 0.000 0.500 0.000

Summary:
formation energy from raw total energies = 1.18 eV per atom
calculated volume = 79.5 Å³/f.u.



No. 18
NpAl2Tl3Te6 | PBE | optimized geometry

Cell lengths 7.423, 7.423, 8.503 Å; angles 98.45, 98.45, 119.62 degrees
Last column: magnetic moment on the atom in μB.
Positions (direct):
1 Np 0.000 0.000 0.000  3.91
2 Al 0.332 0.668 0.000  0.02
3 Al 0.668 0.332 0.000  0.02
4 Tl 0.157 0.843 0.500  0.00
5 Tl 0.843 0.157 0.500  0.00
6 Tl 0.500 0.500 0.500  0.00
7 Te 0.934 0.575 0.802  -0.03
8 Te 0.705 0.705 0.192  -0.04
9 Te 0.066 0.425 0.198  -0.03
10 Te 0.575 0.934 0.802  -0.03
11 Te 0.295 0.295 0.808  -0.04
12 Te 0.425 0.066 0.198  -0.03

Summary:
formation energy from raw total energies = -0.38 eV per atom
calculated volume = 389.5 Å³/f.u.



No. 19
Ti2GeP | PBE | optimized geometry

Cell lengths 3.416, 3.416, 6.816 Å; angles 75.49, 75.49, 60.00 degrees
Positions (direct):
1 Ti 0.072 0.072 0.785
2 Ti 0.262 0.262 0.214
3 Ge 0.499 0.499 0.504
4 P 0.668 0.668 0.997

Summary:
formation energy from the elements = -785.3 meV per atom
relative energy among the computed polymorphs = 11 meV/atom
calculated volume = 65.9 Å³/f.u.



No. 20
PrNdSn2 | PBE | optimized geometry

Cell lengths 4.694, 4.411, 6.350 Å; angles 90.00, 111.67, 90.00 degrees
Positions (direct):
1 Pr 0.447 0.500 0.433
2 Nd 0.718 0.000 0.976
3 Sn 0.171 0.500 0.882
4 Sn 0.994 0.000 0.527

Summary:
formation energy from the elements = -787.8 meV per atom
calculated volume = 122.2 Å³/f.u.